[1]
DFT (PBE) results for V2NiRhN after structural relaxation.

Geometry as CIF:
```
data_V2NiRhN
_cell_length_a 3.920
_cell_length_b 3.920
_cell_length_c 3.771
_cell_angle_alpha 90.00
_cell_angle_beta 90.00
_cell_angle_gamma 90.00
_symmetry_space_group_name_H-M 'P 4/m m m'
_symmetry_Int_Tables_number 123
_symmetry_space_group_name_Hall '-P 4 2'
loop_
_atom_site_label
_atom_site_type_symbol
_atom_site_fract_x
_atom_site_fract_y
_atom_site_fract_z
V1 V 0.000 0.500 0.000
Ni1 Ni 0.000 0.000 0.500
Rh1 Rh 0.500 0.500 0.500
N1 N 0.000 0.000 0.000
```

Summary:
calculated volume = 57.94 Å³/cell
mass density = 8.0 Mg/m³
raw formation energy = -482 meV per atom



[2]
DFT (PBE) results for NpCuNi4 after structural relaxation.

Geometry as CIF:
```
data_NpCuNi4
_cell_length_a 6.849
_cell_length_b 6.849
_cell_length_c 6.849
_cell_angle_alpha 90.00
_cell_angle_beta 90.00
_cell_angle_gamma 90.00
_symmetry_space_group_name_H-M 'F -4 3 m'
_symmetry_Int_Tables_number 216
_symmetry_space_group_name_Hall 'F -4 2 3'
loop_
_atom_site_label
_atom_site_type_symbol
_atom_site_fract_x
_atom_site_fract_y
_atom_site_fract_z
Np1 Np 0.000 0.000 0.000
Cu1 Cu 0.250 0.250 0.750
Ni1 Ni 0.124 0.124 0.376
```

Summary:
calculated volume = 321.23 Å³/cell
DFT formation energy = -108 meV/atom
mass density = 11.1 Mg/m³



[3]
DFT (PBE) results for Sr2HfBiPb after structural relaxation.

Geometry as CIF:
```
data_Sr2HfBiPb
_cell_length_a 6.184
_cell_length_b 6.184
_cell_length_c 5.519
_cell_angle_alpha 90.00
_cell_angle_beta 90.00
_cell_angle_gamma 90.00
_symmetry_space_group_name_H-M 'P 4/m m m'
_symmetry_Int_Tables_number 123
_symmetry_space_group_name_Hall '-P 4 2'
loop_
_atom_site_label
_atom_site_type_symbol
_atom_site_fract_x
_atom_site_fract_y
_atom_site_fract_z
Sr1 Sr 0.000 0.500 0.000
Hf1 Hf 0.000 0.000 0.500
Bi1 Bi 0.000 0.000 0.000
Pb1 Pb 0.500 0.500 0.500
```

Summary:
calculated volume = 211.08 Å³/cell
DFT formation energy = 249 meV/atom
mass density = 6.1 Mg/m³



[4]
DFT (PBE) results for YMnAs2Br after structural relaxation.

Geometry as CIF:
```
data_YMnAs2Br
_cell_length_a 4.791
_cell_length_b 4.791
_cell_length_c 4.989
_cell_angle_alpha 90.00
_cell_angle_beta 90.00
_cell_angle_gamma 90.00
_symmetry_space_group_name_H-M 'P 4/m m m'
_symmetry_Int_Tables_number 123
_symmetry_space_group_name_Hall '-P 4 2'
loop_
_atom_site_label
_atom_site_type_symbol
_atom_site_fract_x
_atom_site_fract_y
_atom_site_fract_z
Y1 Y 0.000 0.000 0.000
Mn1 Mn 0.500 0.500 0.500
As1 As 0.000 0.500 0.500
Br1 Br 0.500 0.500 0.000
```

Summary:
calculated volume = 114.50 Å³/cell
distance to the lowest polymorph of the same formula = 0 meV/atom
mass density = 5.4 Mg/m³
raw formation energy = -287 meV per atom



[5]
DFT (PBE) results for RbIn3Re after structural relaxation.

Geometry as CIF:
```
data_RbIn3Re
_cell_length_a 5.322
_cell_length_b 5.322
_cell_length_c 5.322
_cell_angle_alpha 90.00
_cell_angle_beta 90.00
_cell_angle_gamma 90.00
_symmetry_space_group_name_H-M 'P m -3 m'
_symmetry_Int_Tables_number 221
_symmetry_space_group_name_Hall '-P 4 2 3'
loop_
_atom_site_label
_atom_site_type_symbol
_atom_site_fract_x
_atom_site_fract_y
_atom_site_fract_z
Rb1 Rb 0.000 0.000 0.000
In1 In 0.000 0.500 0.500
Re1 Re 0.500 0.500 0.500
```

Summary:
calculated volume = 150.76 Å³/cell
DFT formation energy = 148 meV/atom
distance to the lowest polymorph of the same formula = 0 meV/atom
mass density = 6.8 Mg/m³



[6]
DFT (PBE) results for KMnZnGa2 after structural relaxation.

Geometry as CIF:
```
data_KMnZnGa2
_cell_length_a 4.754
_cell_length_b 4.754
_cell_length_c 4.954
_cell_angle_alpha 90.00
_cell_angle_beta 90.00
_cell_angle_gamma 90.00
_symmetry_space_group_name_H-M 'P 4/m m m'
_symmetry_Int_Tables_number 123
_symmetry_space_group_name_Hall '-P 4 2'
loop_
_atom_site_label
_atom_site_type_symbol
_atom_site_fract_x
_atom_site_fract_y
_atom_site_fract_z
K1 K 0.000 0.000 0.000
Mn1 Mn 0.500 0.500 0.500
Zn1 Zn 0.500 0.500 0.000
Ga1 Ga 0.000 0.500 0.500
```

Summary:
calculated volume = 111.96 Å³/cell
DFT formation energy = 77 meV/atom
distance to the lowest polymorph of the same formula = 0 meV/atom
mass density = 4.4 Mg/m³



What is the calculated volume in the fifth record?
150.76 Å³/cell